[1]
KSnB | PBE | relaxed

Summary:
- Space group: P6_3/mmc, No. 194
- Magnetic moment: 0.00 μB/f.u.
- Crystal system: hexagonal
- ΔE_f: 87 kJ/mol of formula units
- Density of states at the Fermi level: 0.100 states/eV per cell

Cell lengths 3.951, 3.951, 11.121 Å; angles 90.00, 90.00, 120.00 degrees
Fractional positions:
K (0.000, 0.000, 0.000)
K (0.000, 0.000, 0.500)
B (0.333, 0.667, 0.750)
B (0.667, 0.333, 0.250)
Sn (0.333, 0.667, 0.250)
Sn (0.667, 0.333, 0.750)

***

[2]
BeCuIr | PBE | relaxed

Summary:
- Polymorph energy (0 for the lowest one): 0 meV per atom
- Space group: I4mm, No. 107
- Magnetic moment: 0.00 μB/f.u.
- Crystal system: tetragonal
- ΔE_f: -56 kJ/mol of formula units
- Density of states at the Fermi level: 2.252 states/eV per cell

Cell lengths 4.893, 4.893, 4.893 Å; angles 146.97, 146.97, 47.40 degrees
Fractional positions:
Be (0.004, 0.004, 0.000)
Ir (0.648, 0.648, 0.000)
Cu (0.349, 0.349, 0.000)

***

[3]
Li2La4Pd5 | PBE | relaxed

Summary:
- Space group: Ibam, No. 72
- Magnetic moment: 0.00 μB/f.u.
- Crystal system: orthorhombic
- ΔE_f: -666 kJ/mol of formula units
- Density of states at the Fermi level: 14.963 states/eV per cell

Cell lengths 5.793, 8.971, 11.114 Å; angles 113.80, 105.11, 90.00 degrees
Fractional positions:
Li (0.945, 0.695, 0.390)
Li (0.555, 0.305, 0.610)
Li (0.055, 0.305, 0.610)
Li (0.445, 0.695, 0.390)
La (0.942, 0.217, 0.884)
La (0.058, 0.783, 0.116)
La (0.558, 0.332, 0.116)
La (0.442, 0.668, 0.884)
La (0.657, 0.026, 0.314)
La (0.343, 0.974, 0.686)
La (0.843, 0.712, 0.686)
La (0.157, 0.288, 0.314)
Pd (0.250, 0.000, 0.000)
Pd (0.750, 0.000, 0.000)
Pd (0.584, 0.679, 0.168)
Pd (0.416, 0.321, 0.832)
Pd (0.916, 0.511, 0.832)
Pd (0.084, 0.489, 0.168)
Pd (0.790, 0.978, 0.580)
Pd (0.210, 0.022, 0.420)
Pd (0.290, 0.602, 0.580)
Pd (0.710, 0.398, 0.420)

***

[4]
Dy2ReB10 | PBE | relaxed

Summary:
- Space group: Pbam, No. 55
- Magnetic moment: 0.00 μB/f.u.
- Crystal system: orthorhombic
- ΔE_f: -478 kJ/mol of formula units
- Density of states at the Fermi level: 6.317 states/eV per cell

Cell lengths 4.172, 5.756, 11.428 Å; angles 90.00, 90.00, 90.00 degrees
Fractional positions:
Dy (0.500, 0.275, 0.867)
Dy (0.500, 0.725, 0.133)
Dy (0.500, 0.775, 0.633)
Dy (0.500, 0.225, 0.367)
Re (0.000, 0.500, 0.500)
Re (0.000, 0.000, 0.000)
B (0.000, 0.120, 0.541)
B (0.000, 0.880, 0.459)
B (0.000, 0.620, 0.959)
B (0.000, 0.380, 0.041)
B (0.000, 0.128, 0.697)
B (0.000, 0.872, 0.303)
B (0.300, 0.228, 0.119)
B (0.300, 0.772, 0.881)
B (0.700, 0.728, 0.381)
B (0.700, 0.272, 0.619)
B (0.700, 0.772, 0.881)
B (0.700, 0.228, 0.119)
B (0.300, 0.272, 0.619)
B (0.300, 0.728, 0.381)
B (0.000, 0.063, 0.193)
B (0.000, 0.937, 0.807)
B (0.000, 0.563, 0.307)
B (0.000, 0.437, 0.693)
B (0.000, 0.372, 0.197)
B (0.000, 0.628, 0.803)